An optimized crystal structure of LaY2Er2Tm. Source: Alexandria via LeMat-Bulk, functional PBE.

Structure (POSCAR):
```
LaY2Er2Tm
1.0
-2.622 -1.829 1.506
9.970 -12.418 2.281
1.766 2.552 6.176
La Y Er Tm
2 4 4 2
Direct
0.000 0.000 0.000
0.500 0.500 0.500
0.500 0.839 0.249
0.500 0.161 0.751
0.000 0.661 0.749
0.000 0.339 0.251
0.500 0.153 0.253
0.000 0.653 0.247
0.500 0.847 0.747
0.000 0.347 0.753
0.500 0.500 0.000
0.000 0.000 0.500
```

The calculation puts the uncorrected energy at -5.074 eV/atom. For the formation energy, the calculation gives 0.17 eV/atom. Its space group is No. 58. For the total magnetization, the calculation gives 0.0 μB/f.u.


An optimized crystal structure of LaY2Er3Tm6. Source: Alexandria via LeMat-Bulk, functional PBE.

Structure (POSCAR):
```
LaY2Er3Tm6
1.0
6.109 0.002 0.021
-3.052 5.292 0.021
-1.056 -1.828 11.503
La Y Er Tm
1 2 3 6
Direct
0.000 0.000 0.000
0.333 0.667 0.000
0.667 0.333 0.000
0.167 0.833 0.500
0.833 0.167 0.500
0.500 0.500 0.500
0.915 0.581 0.746
0.751 0.751 0.254
0.085 0.419 0.254
0.581 0.915 0.746
0.249 0.249 0.746
0.419 0.085 0.254
```

The calculation puts the uncorrected energy at -4.835 eV/atom. For the formation energy, the calculation gives 0.03 eV/atom. Its space group is No. 12. For the total magnetization, the calculation gives 0.0 μB/f.u.


An optimized crystal structure of LaYErTm3. Source: Alexandria via LeMat-Bulk, functional PBE.

Structure (POSCAR):
```
LaYErTm3
1.0
-1.530 0.029 -4.787
-6.039 -2.454 4.553
-3.078 9.506 1.041
La Y Er Tm
2 2 2 6
Direct
0.502 0.003 0.750
0.498 0.997 0.250
0.830 0.661 0.750
0.170 0.339 0.250
0.000 0.000 0.500
0.000 0.000 0.000
0.668 0.336 0.500
0.332 0.664 0.500
0.332 0.664 0.000
0.668 0.336 0.000
0.169 0.338 0.750
0.831 0.662 0.250
```

The calculation puts the uncorrected energy at -4.857 eV/atom. For the formation energy, the calculation gives 0.04 eV/atom. Its space group is No. 63. For the total magnetization, the calculation gives 0.0 μB/f.u.


An optimized crystal structure of La2Y6Er2Tm. Source: Alexandria via LeMat-Bulk, functional PBE.

Structure (POSCAR):
```
La2Y6Er2Tm
1.0
-0.487 6.014 -1.132
-0.484 -4.050 -4.587
-11.166 -1.274 3.703
La Y Er Tm
2 6 2 1
Direct
0.834 0.166 0.000
0.166 0.834 0.000
0.750 0.750 0.744
0.083 0.416 0.744
0.250 0.250 0.256
0.416 0.083 0.744
0.917 0.584 0.256
0.584 0.917 0.256
0.335 0.665 0.500
0.665 0.335 0.500
0.000 0.000 0.500
```

The calculation puts the uncorrected energy at -5.471 eV/atom. For the formation energy, the calculation gives 0.19 eV/atom. Its space group is No. 12. For the total magnetization, the calculation gives 0.0 μB/f.u.